Record 1
Computed, not measured: a relaxed DyEr2Tm3Sb6 crystal at the PBE-GGA level of DFT.

Output
The value obtained for the magnetization is 0.00 μB/f.u. The formation energy from raw total energies is -1.087 eV per atom. As for the total energy: -64.93 eV per cell. Its space group is C2/m. The value obtained for the density of states at the Fermi level is 0.158 states/eV per atom.

Cell lengths 4.3480, 8.6980, 9.7228 Å; angles 102.86, 102.92, 90.00 degrees
With the nearest neighbours (Å) after each atom.
Sites, in units of the cell vectors:
Tm 0.5000 0.5000 0.0000  6 Sb 3.06-3.07
Tm 0.8336 0.1671 0.6672  6 Sb 3.06-3.07
Tm 0.1664 0.8329 0.3328  6 Sb 3.06-3.07
Sb 0.3336 0.4163 0.6672  3 Tm 3.07, 3 Er 3.08
Sb 0.9999 0.2523 0.9998  3 Tm 3.06-3.07, 1 Er 3.08, 2 Dy 3.09
Sb 0.6676 0.0827 0.3351  3 Tm 3.06-3.07, 2 Er 3.08, 1 Dy 3.09
Sb 0.3324 0.9173 0.6649  3 Tm 3.06-3.07, 2 Er 3.08, 1 Dy 3.09
Sb 0.6664 0.5837 0.3328  3 Tm 3.07, 3 Er 3.08
Sb 0.0001 0.7477 0.0002  3 Tm 3.06-3.07, 1 Er 3.08, 2 Dy 3.09
Er 0.1668 0.3331 0.3336  6 Sb 3.08
Er 0.8332 0.6669 0.6664  6 Sb 3.08
Dy 0.5000 0.0000 0.0000  6 Sb 3.09

***

Record 2
Computed, not measured: a relaxed Dy3Er2TmSb6 crystal at the PBE-GGA level of DFT.

Output
The value obtained for the magnetization is 0.00 μB/f.u. The formation energy from raw total energies is -1.109 eV per atom. As for the total energy: -65.45 eV per cell. Its space group is C2/m. The value obtained for the density of states at the Fermi level is 0.158 states/eV per atom.

Cell lengths 4.3640, 8.7288, 9.7576 Å; angles 102.86, 102.92, 90.00 degrees
With the nearest neighbours (Å) after each atom.
Sites, in units of the cell vectors:
Er 0.1666 0.3330 0.3333  6 Sb 3.08
Er 0.8334 0.6670 0.6667  6 Sb 3.08
Dy 0.1668 0.8331 0.3335  6 Sb 3.09-3.10
Dy 0.8332 0.1669 0.6665  6 Sb 3.09-3.10
Dy 0.5000 0.5000 0.0000  6 Sb 3.10
Sb 0.6659 0.0841 0.3317  1 Tm 3.07, 2 Er 3.08, 3 Dy 3.09-3.10
Sb 0.3341 0.9159 0.6683  1 Tm 3.07, 2 Er 3.08, 3 Dy 3.09-3.10
Sb 0.0005 0.2479 0.0009  2 Tm 3.07, 1 Er 3.08, 3 Dy 3.10
Sb 0.6671 0.5818 0.3343  3 Er 3.08, 3 Dy 3.10
Sb 0.9995 0.7521 0.9991  2 Tm 3.07, 1 Er 3.08, 3 Dy 3.10
Sb 0.3329 0.4182 0.6657  3 Er 3.08, 3 Dy 3.10
Tm 0.5000 0.0000 0.0000  6 Sb 3.07

***

Record 3
Computed, not measured: a relaxed Dy3ErTm2Sb6 crystal at the PBE-GGA level of DFT.

Output
The value obtained for the magnetization is 0.00 μB/f.u. The formation energy from raw total energies is -1.104 eV per atom. As for the total energy: -65.30 eV per cell. Its space group is C2/m. The value obtained for the density of states at the Fermi level is 0.158 states/eV per atom.

Cell lengths 4.3616, 8.7231, 9.7515 Å; angles 102.85, 102.92, 90.00 degrees
With the nearest neighbours (Å) after each atom.
Sites, in units of the cell vectors:
Dy 0.8335 0.1669 0.6670  6 Sb 3.10
Dy 0.5000 0.5000 0.0000  6 Sb 3.09-3.10
Dy 0.1665 0.8331 0.3330  6 Sb 3.10
Sb 0.6674 0.5812 0.3348  3 Tm 3.07, 3 Dy 3.10
Sb 0.6662 0.0853 0.3325  2 Tm 3.07, 1 Er 3.08, 3 Dy 3.10
Sb 0.9991 0.7510 0.9982  1 Tm 3.07, 2 Er 3.08, 3 Dy 3.09-3.10
Sb 0.3338 0.9147 0.6675  2 Tm 3.07, 1 Er 3.08, 3 Dy 3.10
Sb 0.0009 0.2490 0.0018  1 Tm 3.07, 2 Er 3.08, 3 Dy 3.09-3.10
Sb 0.3326 0.4188 0.6652  3 Tm 3.07, 3 Dy 3.10
Tm 0.1668 0.3332 0.3335  6 Sb 3.07
Tm 0.8332 0.6668 0.6665  6 Sb 3.07
Er 0.5000 0.0000 0.0000  6 Sb 3.08

***

Record 4
Computed, not measured: a relaxed Dy2Er3TmSb6 crystal at the PBE-GGA level of DFT.

Output
The value obtained for the magnetization is 0.00 μB/f.u. The formation energy from raw total energies is -1.102 eV per atom. As for the total energy: -65.33 eV per cell. Its space group is C2/m. The value obtained for the density of states at the Fermi level is 0.158 states/eV per atom.

Cell lengths 4.3585, 8.7184, 9.7462 Å; angles 102.86, 102.92, 90.00 degrees
With the nearest neighbours (Å) after each atom.
Sites, in units of the cell vectors:
Er 0.1672 0.8334 0.3343  6 Sb 3.07-3.08
Er 0.8328 0.1666 0.6657  6 Sb 3.07-3.08
Er 0.5000 0.5000 0.0000  6 Sb 3.08-3.09
Sb 0.9992 0.2487 0.9984  3 Er 3.08-3.09, 2 Tm 3.08, 1 Dy 3.09
Sb 0.6662 0.0813 0.3323  3 Er 3.07-3.08, 1 Tm 3.07, 2 Dy 3.09
Sb 0.6663 0.5845 0.3325  3 Er 3.07-3.08, 3 Dy 3.09-3.10
Sb 0.0008 0.7513 0.0016  3 Er 3.08-3.09, 2 Tm 3.08, 1 Dy 3.09
Sb 0.3338 0.9187 0.6677  3 Er 3.07-3.08, 1 Tm 3.07, 2 Dy 3.09
Sb 0.3337 0.4155 0.6675  3 Er 3.07-3.08, 3 Dy 3.09-3.10
Dy 0.1664 0.3330 0.3327  6 Sb 3.09-3.10
Dy 0.8336 0.6670 0.6673  6 Sb 3.09-3.10
Tm 0.5000 0.0000 0.0000  6 Sb 3.07-3.08

***

Record 5
Computed, not measured: a relaxed DyErTm2Sb4 crystal at the PBE-GGA level of DFT.

Output
The value obtained for the magnetization is 0.00 μB/f.u. The formation energy from raw total energies is -1.090 eV per atom. As for the total energy: -43.32 eV per cell. Its space group is P2/m. The value obtained for the density of states at the Fermi level is 0.140 states/eV per atom.

Cell lengths 4.3551, 7.5376, 7.5370 Å; angles 109.47, 90.00, 90.00 degrees
With the nearest neighbours (Å) after each atom.
Sites, in units of the cell vectors:
Sb 0.0000 0.2481 0.7473  3 Tm 3.06-3.07, 1 Er 3.08, 2 Dy 3.09
Sb 0.5000 0.2496 0.2519  3 Tm 3.06-3.07, 2 Er 3.08, 1 Dy 3.09
Sb 0.0000 0.7519 0.2527  3 Tm 3.06-3.07, 1 Er 3.08, 2 Dy 3.09
Sb 0.5000 0.7504 0.7481  3 Tm 3.06-3.07, 2 Er 3.08, 1 Dy 3.09
Tm 0.0000 0.5000 0.5000  6 Sb 3.07
Tm 0.5000 0.0000 0.5000  6 Sb 3.06
Er 0.0000 0.0000 0.0000  6 Sb 3.08
Dy 0.5000 0.5000 0.0000  6 Sb 3.09

***

Record 6
Computed, not measured: a relaxed DyEr2TmSb4 crystal at the PBE-GGA level of DFT.

Output
The value obtained for the magnetization is 0.00 μB/f.u. The formation energy from raw total energies is -1.097 eV per atom. As for the total energy: -43.46 eV per cell. Its space group is P2/m. The value obtained for the density of states at the Fermi level is 0.139 states/eV per atom.

Cell lengths 4.3583, 7.5439, 7.5441 Å; angles 109.47, 90.00, 90.00 degrees
With the nearest neighbours (Å) after each atom.
Sites, in units of the cell vectors:
Er 0.0000 0.5000 0.5000  6 Sb 3.08-3.09
Er 0.5000 0.0000 0.5000  6 Sb 3.07
Sb 0.0000 0.7519 0.2511  3 Er 3.07-3.08, 1 Tm 3.08, 2 Dy 3.09
Sb 0.5000 0.2484 0.2499  3 Er 3.07-3.09, 2 Tm 3.08, 1 Dy 3.09
Sb 0.0000 0.2481 0.7489  3 Er 3.07-3.08, 1 Tm 3.08, 2 Dy 3.09
Sb 0.5000 0.7516 0.7501  3 Er 3.07-3.09, 2 Tm 3.08, 1 Dy 3.09
Tm 0.0000 0.0000 0.0000  6 Sb 3.08
Dy 0.5000 0.5000 0.0000  6 Sb 3.09

***

Record 7
Computed, not measured: a relaxed Dy2Y3ErSb6 crystal at the PBE-GGA level of DFT.

Output
The value obtained for the magnetization is 0.00 μB/f.u. The formation energy from raw total energies is -1.142 eV per atom. As for the total energy: -71.60 eV per cell. Its space group is C2/m. The value obtained for the density of states at the Fermi level is 0.182 states/eV per atom.

Cell lengths 7.5920, 7.5920, 7.5891 Å; angles 99.59, 99.59, 120.00 degrees
With the nearest neighbours (Å) after each atom.
Sites, in units of the cell vectors:
Y 0.8327 0.1673 0.5000  6 Sb 3.10-3.11
Y 0.1673 0.8327 0.5000  6 Sb 3.10-3.11
Y 0.5000 0.5000 0.5000  6 Sb 3.10-3.11
Sb 0.7511 0.7511 0.2492  1 Er 3.09, 2 Dy 3.10, 3 Y 3.10-3.11
Sb 0.0827 0.4148 0.2484  1 Er 3.09, 2 Dy 3.10, 3 Y 3.10-3.11
Sb 0.2489 0.2489 0.7508  1 Er 3.09, 2 Dy 3.10, 3 Y 3.10-3.11
Sb 0.9173 0.5852 0.7516  1 Er 3.09, 2 Dy 3.10, 3 Y 3.10-3.11
Sb 0.4148 0.0827 0.2484  1 Er 3.09, 2 Dy 3.10, 3 Y 3.10-3.11
Sb 0.5852 0.9173 0.7516  1 Er 3.09, 2 Dy 3.10, 3 Y 3.10-3.11
Dy 0.3336 0.6664 0.0000  6 Sb 3.10
Dy 0.6664 0.3336 0.0000  6 Sb 3.10
Er 0.0000 0.0000 0.0000  6 Sb 3.09

***

Record 8
Computed, not measured: a relaxed Dy3YEr2Sb6 crystal at the PBE-GGA level of DFT.

Output
The value obtained for the magnetization is 0.00 μB/f.u. The formation energy from raw total energies is -1.125 eV per atom. As for the total energy: -67.63 eV per cell. Its space group is C2/m. The value obtained for the density of states at the Fermi level is 0.160 states/eV per atom.

Cell lengths 4.3749, 8.7509, 9.7823 Å; angles 102.86, 102.92, 90.00 degrees
With the nearest neighbours (Å) after each atom.
Sites, in units of the cell vectors:
Sb 0.9993 0.7492 0.9985  1 Er 3.08, 3 Dy 3.09-3.10, 2 Y 3.10
Sb 0.0007 0.2508 0.0015  1 Er 3.08, 3 Dy 3.09-3.10, 2 Y 3.10
Sb 0.6671 0.5817 0.3342  3 Er 3.08, 3 Dy 3.10
Sb 0.6670 0.0847 0.3340  2 Er 3.08, 3 Dy 3.10, 1 Y 3.10
Sb 0.3329 0.4183 0.6658  3 Er 3.08, 3 Dy 3.10
Sb 0.3330 0.9153 0.6660  2 Er 3.08, 3 Dy 3.10, 1 Y 3.10
Er 0.8331 0.6669 0.6663  6 Sb 3.08
Er 0.1669 0.3331 0.3337  6 Sb 3.08
Dy 0.5000 0.5000 0.0000  6 Sb 3.09-3.10
Dy 0.1663 0.8328 0.3325  6 Sb 3.10
Dy 0.8337 0.1672 0.6675  6 Sb 3.10
Y 0.5000 0.0000 0.0000  6 Sb 3.10

***

Record 9
Computed, not measured: a relaxed DyEr6Sc12 crystal at the PBE-GGA level of DFT.

Output
The value obtained for the magnetization is 0.00 μB/f.u. The calculation puts the distance to the lowest polymorph of the same formula at 0.000 eV per atom. As for the total energy: -104.98 eV per cell. As for the formation energy: 0.16 eV per atom. Its space group is R-3m. The value obtained for the density of states at the Fermi level is 1.398 states/eV per atom.

Cell lengths 8.1245, 8.1245, 8.1245 Å; angles 79.40, 79.40, 79.40 degrees
With the nearest neighbours (Å) after each atom.
Sites, in units of the cell vectors:
Sc 0.1376 0.1378 0.4869  3 Sc 3.15-3.40, 5 Er 3.35-3.44
Sc 0.5131 0.8624 0.8622  3 Sc 3.15-3.40, 5 Er 3.35-3.44
Sc 0.5072 0.5073 0.1934  3 Er 3.12-3.15, 5 Sc 3.15-3.26
Sc 0.4928 0.4927 0.8066  3 Er 3.12-3.15, 5 Sc 3.15-3.26
Sc 0.1934 0.5072 0.5073  3 Er 3.12-3.15, 5 Sc 3.15-3.26
Sc 0.8066 0.4928 0.4927  3 Er 3.12-3.15, 5 Sc 3.15-3.26
Sc 0.4927 0.8066 0.4928  3 Er 3.12-3.15, 5 Sc 3.15-3.26
Sc 0.1378 0.4869 0.1376  3 Sc 3.15-3.40, 5 Er 3.35-3.44
Sc 0.5073 0.1934 0.5072  3 Er 3.12-3.15, 5 Sc 3.15-3.26
Sc 0.4869 0.1376 0.1378  3 Sc 3.15-3.40, 5 Er 3.35-3.44
Sc 0.8622 0.5131 0.8624  3 Sc 3.15-3.40, 5 Er 3.35-3.44
Sc 0.8624 0.8622 0.5131  3 Sc 3.15-3.40, 5 Er 3.35-3.44
Er 0.7605 0.1646 0.7605  1 Dy 2.97, 3 Sc 3.12-3.15
Er 0.7605 0.7605 0.1646  1 Dy 2.97, 3 Sc 3.12-3.15
Er 0.1646 0.7605 0.7605  1 Dy 2.97, 3 Sc 3.12-3.15
Er 0.2395 0.2395 0.8354  1 Dy 2.97, 3 Sc 3.12-3.15
Er 0.8354 0.2395 0.2395  1 Dy 2.97, 3 Sc 3.12-3.15
Er 0.2395 0.8354 0.2395  1 Dy 2.97, 3 Sc 3.12-3.15
Dy 0.0000 0.0000 0.0000  6 Er 2.97

***

Record 10
Computed, not measured: a relaxed Dy2Er7Sc crystal at the PBE-GGA level of DFT.

Output
The value obtained for the magnetization is 0.00 μB/f.u. As for the total energy: -45.70 eV per cell. As for the formation energy: 0.18 eV per atom. Its space group is Cmmm. The value obtained for the density of states at the Fermi level is 1.362 states/eV per atom.

Cell lengths 3.4360, 14.4662, 14.4663 Å; angles 154.57, 90.00, 90.00 degrees
With the nearest neighbours (Å) after each atom.
Sites, in units of the cell vectors:
Er 0.5000 0.1479 0.3412  7 Er 3.11-3.44
Er 0.5000 0.5000 0.5000  6 Er 3.18-3.44
Er 0.5000 0.3412 0.1479  7 Er 3.11-3.44
Er 0.0000 0.1850 0.8150  6 Er 3.40-3.44, 6 Dy 3.47-3.68
Er 0.5000 0.6588 0.8521  7 Er 3.11-3.44
Er 0.5000 0.8521 0.6588  7 Er 3.11-3.44
Er 0.0000 0.8150 0.1850  6 Er 3.40-3.44, 6 Dy 3.47-3.68
Dy 0.5000 0.2918 0.7082  2 Dy 3.44, 8 Er 3.47-3.68
Dy 0.5000 0.7082 0.2918  2 Dy 3.44, 8 Er 3.47-3.68
Sc 0.0000 0.0000 0.0000  2 Sc 3.44, 12 Er 3.58-3.62

***

Record 11
Computed, not measured: a relaxed Dy3Er4Sc3 crystal at the PBE-GGA level of DFT.

Output
The value obtained for the magnetization is 0.00 μB/f.u. As for the total energy: -50.20 eV per cell. As for the formation energy: 0.09 eV per atom. Its space group is Amm2. The value obtained for the density of states at the Fermi level is 0.827 states/eV per atom.

Cell lengths 3.5963, 9.0197, 9.0197 Å; angles 90.50, 90.00, 90.00 degrees
With the nearest neighbours (Å) after each atom.
Sites, in units of the cell vectors:
Sc 0.5000 0.6709 0.6677  6 Er 3.12-3.25
Sc 0.5000 0.8295 0.1705  6 Er 3.12-3.23
Sc 0.5000 0.3323 0.3291  6 Er 3.12-3.25
Er 0.0000 0.6301 0.3699  6 Sc 3.12-3.25, 1 Er 3.23
Er 0.0000 0.8644 0.8757  4 Sc 3.12-3.23, 1 Er 3.30, 3 Dy 3.32-3.47
Er 0.0000 0.3776 0.6224  4 Dy 3.21-3.59, 4 Sc 3.22, 1 Er 3.23
Er 0.0000 0.1243 0.1356  4 Sc 3.12-3.23, 1 Er 3.30, 3 Dy 3.32-3.47
Dy 0.5000 0.1702 0.8298  6 Er 3.21-3.32
Dy 0.0000 0.5025 0.0017  4 Er 3.47-3.63, 4 Dy 3.60-3.81, 6 Sc 3.76-3.83
Dy 0.0000 0.9983 0.4975  4 Er 3.47-3.63, 4 Dy 3.60-3.81, 6 Sc 3.76-3.83

***

Record 12
Computed, not measured: a relaxed Dy4Er2Sc5 crystal at the PBE-GGA level of DFT.

Output
The value obtained for the magnetization is 0.00 μB/f.u. The calculation puts the distance to the lowest polymorph of the same formula at 0.000 eV per atom. As for the total energy: -58.63 eV per cell. As for the formation energy: 0.05 eV per atom. Its space group is C2/m. The value obtained for the density of states at the Fermi level is 1.568 states/eV per atom.

Cell lengths 4.8358, 7.5773, 9.0123 Å; angles 75.94, 105.56, 90.00 degrees
With the nearest neighbours (Å) after each atom.
Sites, in units of the cell vectors:
Sc 0.2271 0.3701 0.4541  5 Sc 3.31-3.39, 3 Er 3.33-3.40, 4 Dy 3.42-3.45
Sc 0.8609 0.1884 0.7217  5 Sc 3.31-3.46, 2 Er 3.34, 5 Dy 3.38-3.41
Sc 0.7729 0.6299 0.5459  5 Sc 3.31-3.39, 3 Er 3.33-3.40, 4 Dy 3.42-3.45
Sc 0.5000 0.0000 0.0000  6 Dy 3.36-3.39, 2 Er 3.38, 4 Sc 3.46
Sc 0.1391 0.8116 0.2783  5 Sc 3.31-3.46, 2 Er 3.34, 5 Dy 3.38-3.41
Dy 0.6822 0.0860 0.3643  7 Sc 3.38-3.45, 4 Dy 3.40-3.42, 1 Er 3.48
Dy 0.0456 0.2649 0.0913  5 Sc 3.36-3.44, 3 Dy 3.42-3.52, 4 Er 3.45-3.48
Dy 0.3178 0.9140 0.6357  7 Sc 3.38-3.45, 4 Dy 3.40-3.42, 1 Er 3.48
Dy 0.9544 0.7351 0.9087  5 Sc 3.36-3.44, 3 Dy 3.42-3.52, 4 Er 3.45-3.48
Er 0.4071 0.4486 0.8141  6 Sc 3.33-3.40, 5 Dy 3.45-3.48, 1 Er 3.51
Er 0.5929 0.5514 0.1859  6 Sc 3.33-3.40, 5 Dy 3.45-3.48, 1 Er 3.51